# 1
# TiBS3 | Alexandria via LeMat-Bulk | PBE | optimized geometry
# Distance to the lowest polymorph of the same formula (meV per atom): 1088.9
# DOS at the Fermi energy (states/eV per atom): 0.83
# Formation energy without anion corrections (eV/atom): 0.264
data_TiBS3
_chemical_formula_sum 'Ti1 B1 S3'
_cell_length_a 4.154
_cell_length_b 4.154
_cell_length_c 4.154
_cell_angle_alpha 90.00
_cell_angle_beta 90.00
_cell_angle_gamma 90.00
_symmetry_space_group_name_H-M 'P m -3 m'
_symmetry_Int_Tables_number 221
_symmetry_space_group_name_Hall '-P 4 2 3'
loop_
_atom_site_label
_atom_site_type_symbol
_atom_site_fract_x
_atom_site_fract_y
_atom_site_fract_z
_atom_site_occupancy
Ti1 Ti 0.000 0.000 0.000 1
B1 B 0.500 0.500 0.500 1
S1 S 0.000 0.500 0.500 1

# 2
# TiB2S4 | Alexandria via LeMat-Bulk | PBE | optimized geometry
# DOS at the Fermi energy (states/eV per atom): 0.32
# Formation energy without anion corrections (eV/atom): -0.421
data_TiB2S4
_chemical_formula_sum 'Ti2 B4 S8'
_cell_length_a 6.924
_cell_length_b 6.924
_cell_length_c 5.252
_cell_angle_alpha 90.00
_cell_angle_beta 90.00
_cell_angle_gamma 90.00
_symmetry_space_group_name_H-M 'I 4/m'
_symmetry_Int_Tables_number 87
_symmetry_space_group_name_Hall '-I 4'
loop_
_atom_site_label
_atom_site_type_symbol
_atom_site_fract_x
_atom_site_fract_y
_atom_site_fract_z
_atom_site_occupancy
Ti1 Ti 0.000 0.000 0.000 1
B1 B 0.000 0.500 0.250 1
S1 S 0.131 0.658 0.000 1

# 3
# Ti2BS6 | Alexandria via LeMat-Bulk | PBE | optimized geometry
# DOS at the Fermi energy (states/eV per atom): 0.32
# Formation energy without anion corrections (eV/atom): -0.665
data_Ti2BS6
_chemical_formula_sum 'Ti4 B2 S12'
_cell_length_a 16.361
_cell_length_b 4.710
_cell_length_c 6.890
_cell_angle_alpha 90.00
_cell_angle_beta 112.51
_cell_angle_gamma 90.00
_symmetry_space_group_name_H-M 'C 1 2/m 1'
_symmetry_Int_Tables_number 12
loop_
_symmetry_equiv_pos_as_xyz
'x,y,z'
'-x,-y,-z'
'-x,y,-z'
'x,-y,z'
'x+1/2,y+1/2,z'
'-x+1/2,-y+1/2,-z'
'-x+1/2,y+1/2,-z'
'x+1/2,-y+1/2,z'
loop_
_atom_site_label
_atom_site_type_symbol
_atom_site_fract_x
_atom_site_fract_y
_atom_site_fract_z
_atom_site_occupancy
Ti1 Ti 0.200 0.000 0.333 1
B1 B 0.000 0.000 0.000 1
S1 S 0.036 0.000 0.264 1
S2 S 0.194 0.500 0.322 1
S3 S 0.241 0.000 0.049 1

# 4
# TiBS3 | Alexandria via LeMat-Bulk | PBE | optimized geometry
# Distance to the lowest polymorph of the same formula (meV per atom): 0.0
# DOS at the Fermi energy (states/eV per atom): 0.54
# Formation energy without anion corrections (eV/atom): -0.825
data_TiBS3
_chemical_formula_sum 'Ti6 B6 S18'
_cell_length_a 5.7912
_cell_length_b 5.7912
_cell_length_c 20.6996
_cell_angle_alpha 90.00
_cell_angle_beta 90.00
_cell_angle_gamma 120.00
_symmetry_space_group_name_H-M 'R -3'
_symmetry_Int_Tables_number 148
_symmetry_space_group_name_Hall '-R 3'
loop_
_atom_site_label
_atom_site_type_symbol
_atom_site_fract_x
_atom_site_fract_y
_atom_site_fract_z
_atom_site_occupancy
Ti1 Ti 0.0000 0.0000 0.1667 1
B1 B 0.0000 0.0000 0.4335 1
S1 S 0.0001 0.3147 0.5718 1

# 5
# TiBS3 | Alexandria via LeMat-Bulk | PBE | optimized geometry
# Distance to the lowest polymorph of the same formula (meV per atom): 1308.0
# DOS at the Fermi energy (states/eV per atom): 0.38
# Formation energy without anion corrections (eV/atom): 0.483
data_TiBS3
_chemical_formula_sum 'Ti1 B1 S3'
_cell_length_a 4.690
_cell_length_b 4.690
_cell_length_c 4.690
_cell_angle_alpha 90.00
_cell_angle_beta 90.00
_cell_angle_gamma 90.00
_symmetry_space_group_name_H-M 'P m -3 m'
_symmetry_Int_Tables_number 221
_symmetry_space_group_name_Hall '-P 4 2 3'
loop_
_atom_site_label
_atom_site_type_symbol
_atom_site_fract_x
_atom_site_fract_y
_atom_site_fract_z
_atom_site_occupancy
Ti1 Ti 0.000 0.000 0.000 1
B1 B 0.500 0.500 0.500 1
S1 S 0.000 0.000 0.500 1

# 6
# Ti3BS6 | Alexandria via LeMat-Bulk | PBE | optimized geometry
# DOS at the Fermi energy (states/eV per atom): 0.49
# Formation energy without anion corrections (eV/atom): -1.006
data_Ti3BS6
_chemical_formula_sum 'Ti12 B4 S24'
_cell_length_a 9.713
_cell_length_b 11.850
_cell_length_c 5.706
_cell_angle_alpha 90.00
_cell_angle_beta 90.00
_cell_angle_gamma 90.00
_symmetry_space_group_name_H-M 'C m c 21'
_symmetry_Int_Tables_number 36
loop_
_symmetry_equiv_pos_as_xyz
'x,y,z'
'-x,-y,z+1/2'
'-x,y,z'
'x,-y,z+1/2'
'x+1/2,y+1/2,z'
'-x+1/2,-y+1/2,z+1/2'
'-x+1/2,y+1/2,z'
'x+1/2,-y+1/2,z+1/2'
loop_
_atom_site_label
_atom_site_type_symbol
_atom_site_fract_x
_atom_site_fract_y
_atom_site_fract_z
_atom_site_occupancy
Ti1 Ti 0.000 0.091 0.000 1
Ti2 Ti 0.169 0.407 0.110 1
B1 B 0.000 0.292 0.648 1
S1 S 0.000 0.284 0.316 1
S2 S 0.000 0.447 0.767 1
S3 S 0.157 0.231 0.811 1
S4 S 0.165 0.039 0.304 1

# 7
# Ti2BS4 | Alexandria via LeMat-Bulk | PBE | optimized geometry
# DOS at the Fermi energy (states/eV per atom): 0.54
# Formation energy without anion corrections (eV/atom): -0.649
data_Ti2BS4
_chemical_formula_sum 'Ti4 B2 S8'
_cell_length_a 11.803
_cell_length_b 3.455
_cell_length_c 5.822
_cell_angle_alpha 90.00
_cell_angle_beta 117.67
_cell_angle_gamma 90.00
_symmetry_space_group_name_H-M 'C 1 2/m 1'
_symmetry_Int_Tables_number 12
loop_
_symmetry_equiv_pos_as_xyz
'x,y,z'
'-x,-y,-z'
'-x,y,-z'
'x,-y,z'
'x+1/2,y+1/2,z'
'-x+1/2,-y+1/2,-z'
'-x+1/2,y+1/2,-z'
'x+1/2,-y+1/2,z'
loop_
_atom_site_label
_atom_site_type_symbol
_atom_site_fract_x
_atom_site_fract_y
_atom_site_fract_z
_atom_site_occupancy
Ti1 Ti 0.247 0.000 0.238 1
B1 B 0.000 0.000 0.000 1
S1 S 0.110 0.000 0.778 1
S2 S 0.110 0.500 0.283 1

# 8
# TiB2S6 | Alexandria via LeMat-Bulk | PBE | optimized geometry
# DOS at the Fermi energy (states/eV per atom): 0.08
# Formation energy without anion corrections (eV/atom): -0.437
data_TiB2S6
_chemical_formula_sum 'Ti4 B8 S24'
_cell_length_a 11.605
_cell_length_b 9.453
_cell_length_c 6.046
_cell_angle_alpha 90.00
_cell_angle_beta 98.00
_cell_angle_gamma 90.00
_symmetry_space_group_name_H-M 'C 1 2/c 1'
_symmetry_Int_Tables_number 15
loop_
_symmetry_equiv_pos_as_xyz
'x,y,z'
'-x,-y,-z'
'-x,y,-z+1/2'
'x,-y,z+1/2'
'x+1/2,y+1/2,z'
'-x+1/2,-y+1/2,-z'
'-x+1/2,y+1/2,-z+1/2'
'x+1/2,-y+1/2,z+1/2'
loop_
_atom_site_label
_atom_site_type_symbol
_atom_site_fract_x
_atom_site_fract_y
_atom_site_fract_z
_atom_site_occupancy
Ti1 Ti 0.000 0.128 0.250 1
B1 B 0.227 0.434 0.365 1
S1 S 0.108 0.065 0.601 1
S2 S 0.163 0.428 0.649 1
S3 S 0.166 0.271 0.201 1

# 9
# Ti3BS | Alexandria via LeMat-Bulk | PBE | optimized geometry
# Distance to the lowest polymorph of the same formula (meV per atom): 0.0
# DOS at the Fermi energy (states/eV per atom): 0.77
# Formation energy without anion corrections (eV/atom): -0.886
data_Ti3BS
_chemical_formula_sum 'Ti12 B4 S4'
_cell_length_a 17.559
_cell_length_b 3.129
_cell_length_c 4.853
_cell_angle_alpha 90.00
_cell_angle_beta 97.84
_cell_angle_gamma 90.00
_symmetry_space_group_name_H-M 'C 1 2/m 1'
_symmetry_Int_Tables_number 12
loop_
_symmetry_equiv_pos_as_xyz
'x,y,z'
'-x,-y,-z'
'-x,y,-z'
'x,-y,z'
'x+1/2,y+1/2,z'
'-x+1/2,-y+1/2,-z'
'-x+1/2,y+1/2,-z'
'x+1/2,-y+1/2,z'
loop_
_atom_site_label
_atom_site_type_symbol
_atom_site_fract_x
_atom_site_fract_y
_atom_site_fract_z
_atom_site_occupancy
Ti1 Ti 0.000 0.000 0.240 1
Ti2 Ti 0.137 0.500 0.068 1
Ti3 Ti 0.194 0.000 0.597 1
B1 B 0.238 0.000 0.084 1
S1 S 0.087 0.500 0.541 1

# 10
# TiTlB2S | Alexandria via LeMat-Bulk | PBE | optimized geometry
# Distance to the lowest polymorph of the same formula (meV per atom): 710.1
# DOS at the Fermi energy (states/eV per atom): 1.18
# Formation energy without anion corrections (eV/atom): 1.510
data_TiTlB2S
_chemical_formula_sum 'Ti1 Tl1 B2 S1'
_cell_length_a 3.959
_cell_length_b 3.959
_cell_length_c 5.511
_cell_angle_alpha 90.00
_cell_angle_beta 90.00
_cell_angle_gamma 90.00
_symmetry_space_group_name_H-M 'P 4/m m m'
_symmetry_Int_Tables_number 123
_symmetry_space_group_name_Hall '-P 4 2'
loop_
_atom_site_label
_atom_site_type_symbol
_atom_site_fract_x
_atom_site_fract_y
_atom_site_fract_z
_atom_site_occupancy
Ti1 Ti 0.000 0.000 0.000 1
Tl1 Tl 0.500 0.500 0.000 1
B1 B 0.000 0.500 0.500 1
S1 S 0.500 0.500 0.500 1